Entry 1:
Compound: Sb3Br
Source: the Alexandria database
Functional: GGA-PBE
Structure: optimized geometry

Volume (Å³ per atom): 27.83
E_form (uncorrected) (eV/atom): 0.41
Energy above the lowest structure with this stoichiometry (eV per atom): 0.3931
Total energy (eV/atom): -3.10

Structure (CIF):
```
data_Sb3Br
_chemical_formula_sum 'Sb6 Br2'
_space_group_name_H-M_alt 'P m -3 n'
_space_group_IT_number 223
_space_group_name_Hall '-P 4n 2 3'
_cell_length_a 6.061
_cell_length_b 6.061
_cell_length_c 6.061
_cell_angle_alpha 90.00
_cell_angle_beta 90.00
_cell_angle_gamma 90.00
loop_
_atom_site_label
_atom_site_type_symbol
_atom_site_fract_x
_atom_site_fract_y
_atom_site_fract_z
Sb1 Sb 0.000 0.250 0.500
Br1 Br 0.000 0.000 0.000
```


Entry 2:
Compound: Sb3Br
Source: the Alexandria database
Functional: GGA-PBE
Structure: optimized geometry

Volume (Å³ per atom): 33.58
E_form (uncorrected) (eV/atom): 0.01
Energy above the lowest structure with this stoichiometry (eV per atom): 0.0000
Total energy (eV/atom): -3.50

Structure (CIF):
```
data_Sb3Br
_chemical_formula_sum 'Sb3 Br1'
_space_group_name_H-M_alt 'P m m 2'
_space_group_IT_number 25
_space_group_name_Hall 'P 2 -2'
_cell_length_a 4.280
_cell_length_b 4.389
_cell_length_c 7.152
_cell_angle_alpha 90.00
_cell_angle_beta 90.00
_cell_angle_gamma 90.00
loop_
_atom_site_label
_atom_site_type_symbol
_atom_site_fract_x
_atom_site_fract_y
_atom_site_fract_z
Sb1 Sb 0.000 0.000 0.000
Sb2 Sb 0.000 0.500 0.308
Sb3 Sb 0.500 0.500 0.994
Br1 Br 0.500 0.000 0.504
```


Entry 3:
Compound: Sb4Br
Source: the Alexandria database
Functional: GGA-PBE
Structure: optimized geometry

Volume (Å³ per atom): 33.13
E_form (uncorrected) (eV/atom): 0.93
Energy above the lowest structure with this stoichiometry (eV per atom): 0.3788
Total energy (eV/atom): -2.70

Structure (CIF):
```
data_Sb4Br
_chemical_formula_sum 'Sb4 Br1'
_space_group_name_H-M_alt 'P m -3 m'
_space_group_IT_number 221
_space_group_name_Hall '-P 4 2 3'
_cell_length_a 5.492
_cell_length_b 5.492
_cell_length_c 5.492
_cell_angle_alpha 90.00
_cell_angle_beta 90.00
_cell_angle_gamma 90.00
loop_
_atom_site_label
_atom_site_type_symbol
_atom_site_fract_x
_atom_site_fract_y
_atom_site_fract_z
Sb1 Sb 0.000 0.000 0.000
Sb2 Sb 0.000 0.500 0.500
Br1 Br 0.500 0.500 0.500
```


Which total moment belongs to each record? In order, 0.000; 0.000; 0.000 μB per cell.